Here is crystalline SrTiSb3 at its relaxed geometry from Alexandria. Energies are from PBE.

Calculated values
Density of states at the Fermi level, states/eV/f.u.: 16.6
ΔE to the lowest computed polymorph, meV per atom: 1603
Total DFT energy (no corrections), eV/atom: -3.1581
Symmetry: Pm-3m, No. 221

Lattice parameters (Å, degrees): 5.826 5.826 5.826 90.00 90.00 90.00
Atoms (fractional coordinates):
Sr: 0.000 0.000 0.000
Ti: 0.500 0.500 0.500
Sb: 0.000 0.000 0.500
Sb: 0.000 0.500 0.000
Sb: 0.500 0.000 0.000